! PaMnPb2O8, relaxed, DFT PBE+U; values from VASP
! - total energy (eV per atom) = -6.861
&SYSTEM
  ibrav = 0, nat = 12, ntyp = 4
/
ATOMIC_SPECIES
Pa 231.04 Pa.upf
Mn 54.94 Mn.upf
Pb 207.20 Pb.upf
O 16.00 O.upf
CELL_PARAMETERS angstrom
-3.444 3.444 3.729
3.444 -3.444 3.729
3.444 3.444 -3.729
ATOMIC_POSITIONS crystal
Pa 0.000 0.000 0.000
Mn 0.750 0.250 0.500
Pb 0.250 0.750 0.500
Pb 0.500 0.500 0.000
O 0.042 0.348 0.306
O 0.042 0.736 0.694
O 0.080 0.282 0.799
O 0.264 0.958 0.306
O 0.483 0.282 0.201
O 0.652 0.958 0.694
O 0.718 0.517 0.799
O 0.718 0.920 0.201